Entry 1:
The following is a DFT calculation (PBE) of a relaxed KNaSr2O crystal.

```
KNaSr2O
1.0
5.129 0.000 0.000
0.000 5.129 0.000
0.000 0.000 6.664
K Na Sr O
1 1 2 1
Direct
0.000 0.000 0.000
0.500 0.500 0.000
0.000 0.500 0.500
0.500 0.000 0.500
0.000 0.000 0.500
```

E_form (uncorrected) (eV/atom): -0.888
Symmetry: P4/mmm

Entry 2:
The following is a DFT calculation (PBE) of a relaxed K2NaTaO4 crystal.

```
K2NaTaO4
1.0
-3.389 3.389 3.104
3.389 -3.389 3.104
3.389 3.389 -3.104
K Na Ta O
2 1 1 4
Direct
0.000 0.500 0.500
0.500 0.000 0.500
0.000 0.000 0.000
0.500 0.500 0.000
0.160 0.160 0.688
0.472 0.472 0.312
0.528 0.840 0.000
0.840 0.528 0.000
```

E_form (uncorrected) (eV/atom): -2.158
Symmetry: I-42m

Entry 3:
The following is a DFT calculation (PBE) of a relaxed K5Na3Ta8O24 crystal.

```
K5Na3Ta8O24
1.0
8.024 0.000 0.000
0.000 8.024 0.000
0.000 0.000 8.023
K Na Ta O
5 3 8 24
Direct
0.000 0.000 0.000
0.000 0.000 0.500
0.000 0.500 0.000
0.500 0.000 0.000
0.500 0.500 0.000
0.000 0.500 0.500
0.500 0.000 0.500
0.500 0.500 0.500
0.251 0.251 0.252
0.251 0.251 0.748
0.251 0.749 0.252
0.251 0.749 0.748
0.749 0.251 0.252
0.749 0.251 0.748
0.749 0.749 0.252
0.749 0.749 0.748
0.000 0.252 0.253
0.000 0.252 0.747
0.000 0.748 0.253
0.000 0.748 0.747
0.251 0.251 0.000
0.251 0.500 0.254
0.251 0.500 0.746
0.251 0.749 0.000
0.252 0.000 0.253
0.252 0.000 0.747
0.252 0.252 0.500
0.252 0.748 0.500
0.500 0.251 0.254
0.500 0.251 0.746
0.500 0.749 0.254
0.500 0.749 0.746
0.748 0.000 0.253
0.748 0.000 0.747
0.748 0.252 0.500
0.748 0.748 0.500
0.749 0.251 0.000
0.749 0.500 0.254
0.749 0.500 0.746
0.749 0.749 0.000
```

E_form (uncorrected) (eV/atom): -2.652
Symmetry: P4/mmm

Entry 4:
The following is a DFT calculation (PBE) of a relaxed KNa2Ta2O7 crystal.

```
KNa2Ta2O7
1.0
-2.024 2.024 9.991
2.024 -2.024 9.991
2.024 2.024 -9.991
K Na Ta O
1 2 2 7
Direct
0.000 0.000 0.000
0.250 0.750 0.500
0.750 0.250 0.500
0.395 0.395 0.000
0.605 0.605 0.000
0.100 0.600 0.500
0.300 0.300 0.000
0.400 0.900 0.500
0.500 0.500 0.000
0.600 0.100 0.500
0.700 0.700 0.000
0.900 0.400 0.500
```

E_form (uncorrected) (eV/atom): -2.325
Symmetry: I4/mmm

Entry 5:
The following is a DFT calculation (PBE) of a relaxed KNaTaO2 crystal.

```
KNaTaO2
1.0
4.692 0.000 0.000
0.000 4.692 0.000
0.000 0.000 4.272
K Na Ta O
1 1 1 2
Direct
0.000 0.000 0.000
0.000 0.000 0.500
0.500 0.500 0.500
0.000 0.500 0.000
0.500 0.000 0.000
```

E_form (uncorrected) (eV/atom): 1.044
Symmetry: P4/mmm

Entry 6:
The following is a DFT calculation (PBE) of a relaxed K2NaTcO4 crystal.

```
K2NaTcO4
1.0
-3.056 3.056 3.824
3.056 -3.056 3.824
3.056 3.056 -3.824
K Na Tc O
2 1 1 4
Direct
0.000 0.000 0.000
0.750 0.250 0.500
0.500 0.500 0.000
0.250 0.750 0.500
0.168 0.608 0.107
0.392 0.499 0.561
0.501 0.061 0.893
0.939 0.832 0.439
```

E_form (uncorrected) (eV/atom): -1.544
Symmetry: I-4

Entry 7:
The following is a DFT calculation (PBE) of a relaxed KNa2TcO4 crystal.

```
KNa2TcO4
1.0
-3.370 4.182 4.218
3.370 -4.182 4.218
3.370 4.182 -4.218
K Na Tc O
2 4 2 8
Direct
0.000 0.000 0.000
0.500 0.000 0.500
0.000 0.500 0.500
0.500 0.000 0.000
0.500 0.500 0.000
0.500 0.500 0.500
0.000 0.000 0.500
0.000 0.500 0.000
0.222 0.241 0.520
0.222 0.702 0.980
0.223 0.000 0.723
0.223 0.500 0.223
0.777 0.000 0.277
0.777 0.500 0.777
0.778 0.298 0.020
0.778 0.759 0.480
```

E_form (uncorrected) (eV/atom): -1.387
Symmetry: Imma

Entry 8:
The following is a DFT calculation (PBE) of a relaxed K2Na3TcO6 crystal.

```
K2Na3TcO6
1.0
3.095 -5.512 0.000
3.095 5.512 0.000
-2.121 0.000 5.292
K Na Tc O
2 3 1 6
Direct
0.171 0.829 0.000
0.829 0.171 0.000
0.000 0.000 0.500
0.357 0.643 0.500
0.643 0.357 0.500
0.500 0.500 0.000
0.183 0.429 0.779
0.308 0.308 0.196
0.429 0.183 0.779
0.571 0.817 0.221
0.692 0.692 0.804
0.817 0.571 0.221
```

E_form (uncorrected) (eV/atom): -1.496
Symmetry: C2/m

Entry 9:
The following is a DFT calculation (PBE) of a relaxed K2NaTc2O7 crystal.

```
K2NaTc2O7
1.0
-1.943 1.943 10.726
1.943 -1.943 10.726
1.943 1.943 -10.726
K Na Tc O
2 1 2 7
Direct
0.190 0.190 0.000
0.810 0.810 0.000
0.000 0.000 0.000
0.409 0.409 0.000
0.591 0.591 0.000
0.089 0.589 0.500
0.321 0.321 0.000
0.411 0.911 0.500
0.500 0.500 0.000
0.589 0.089 0.500
0.679 0.679 0.000
0.911 0.411 0.500
```

E_form (uncorrected) (eV/atom): -1.582
Symmetry: I4/mmm

Entry 10:
The following is a DFT calculation (PBE) of a relaxed KNa2TeO4 crystal.

```
KNa2TeO4
1.0
-3.296 3.386 5.518
3.296 -3.386 5.518
3.296 3.386 -5.518
K Na Te O
2 4 2 8
Direct
0.500 0.000 0.000
0.500 0.500 0.500
0.000 0.000 0.000
0.000 0.000 0.500
0.000 0.500 0.000
0.500 0.000 0.500
0.000 0.500 0.500
0.500 0.500 0.000
0.158 0.678 0.479
0.253 0.287 0.533
0.253 0.720 0.967
0.301 0.322 0.979
0.699 0.678 0.021
0.747 0.280 0.033
0.747 0.713 0.467
0.842 0.322 0.521
```

E_form (uncorrected) (eV/atom): -1.260
Symmetry: Imma

Entry 11:
The following is a DFT calculation (PBE) of a relaxed KNaTeO4 crystal.

```
KNaTeO4
1.0
6.243 0.000 0.000
0.000 6.329 0.000
-2.091 0.000 6.909
K Na Te O
2 2 2 8
Direct
0.223 0.250 0.447
0.777 0.750 0.553
0.319 0.250 0.973
0.681 0.750 0.027
0.223 0.750 0.165
0.777 0.250 0.835
0.031 0.750 0.918
0.046 0.750 0.330
0.422 0.525 0.209
0.422 0.975 0.209
0.578 0.025 0.791
0.578 0.475 0.791
0.954 0.250 0.670
0.969 0.250 0.082
```

E_form (uncorrected) (eV/atom): -1.348
Symmetry: P2_1/m

Entry 12:
The following is a DFT calculation (PBE) of a relaxed K5NaTeO2 crystal.

```
K5NaTeO2
1.0
5.339 0.000 0.000
0.000 5.339 0.000
0.000 0.000 10.214
K Na Te O
5 1 1 2
Direct
0.000 0.000 0.000
0.000 0.500 0.237
0.000 0.500 0.763
0.500 0.000 0.237
0.500 0.000 0.763
0.000 0.000 0.500
0.500 0.500 0.000
0.000 0.000 0.285
0.000 0.000 0.715
```

E_form (uncorrected) (eV/atom): -1.042
Symmetry: P4/mmm

Entry 13:
The following is a DFT calculation (PBE) of a relaxed KNaThO3 crystal.

```
KNaThO3
1.0
6.568 0.000 0.000
0.000 3.715 0.000
-0.627 0.000 8.597
K Na Th O
2 2 2 6
Direct
0.078 0.250 0.172
0.922 0.750 0.828
0.207 0.750 0.501
0.793 0.250 0.499
0.415 0.250 0.811
0.585 0.750 0.189
0.121 0.250 0.671
0.317 0.750 0.976
0.455 0.250 0.309
0.545 0.750 0.691
0.683 0.250 0.024
0.879 0.750 0.329
```

E_form (uncorrected) (eV/atom): -2.556
Symmetry: P2_1/m

Entry 14:
The following is a DFT calculation (PBE) of a relaxed K2Na2ThO4 crystal.

```
K2Na2ThO4
1.0
6.395 -1.876 0.000
6.395 1.876 0.000
-5.410 0.000 7.183
K Na Th O
2 2 1 4
Direct
0.182 0.182 0.289
0.818 0.818 0.711
0.352 0.352 0.114
0.648 0.648 0.886
0.000 0.000 0.500
0.201 0.201 0.787
0.438 0.438 0.599
0.562 0.562 0.401
0.799 0.799 0.213
```

E_form (uncorrected) (eV/atom): -2.136
Symmetry: C2/m

Entry 15:
The following is a DFT calculation (PBE) of a relaxed K3NaTh2O6 crystal.

```
K3NaTh2O6
1.0
3.167 -5.490 0.000
3.167 5.490 0.000
-2.121 0.000 12.599
K Na Th O
6 2 4 12
Direct
0.000 0.500 0.500
0.156 0.313 0.000
0.313 0.156 0.500
0.500 0.000 0.000
0.687 0.844 0.500
0.844 0.687 0.000
0.084 0.916 0.750
0.916 0.084 0.250
0.250 0.750 0.250
0.417 0.583 0.750
0.583 0.417 0.250
0.750 0.250 0.750
0.051 0.252 0.653
0.116 0.578 0.847
0.252 0.051 0.153
0.319 0.487 0.347
0.422 0.884 0.653
0.487 0.319 0.847
0.513 0.681 0.153
0.578 0.116 0.347
0.681 0.513 0.653
0.748 0.949 0.847
0.884 0.422 0.153
0.949 0.748 0.347
```

E_form (uncorrected) (eV/atom): -2.613
Symmetry: C2/c

Entry 16:
The following is a DFT calculation (PBE) of a relaxed K2NaTlO3 crystal.

```
K2NaTlO3
1.0
6.489 0.000 0.000
0.000 7.042 0.000
-1.103 0.000 12.091
K Na Tl O
8 4 4 12
Direct
0.068 0.138 0.139
0.068 0.362 0.639
0.421 0.664 0.854
0.421 0.836 0.354
0.579 0.164 0.646
0.579 0.336 0.146
0.932 0.638 0.361
0.932 0.862 0.861
0.362 0.124 0.912
0.362 0.376 0.412
0.638 0.624 0.588
0.638 0.876 0.088
0.147 0.625 0.091
0.147 0.875 0.591
0.853 0.125 0.409
0.853 0.375 0.909
0.195 0.102 0.459
0.195 0.398 0.959
0.247 0.005 0.745
0.247 0.495 0.245
0.281 0.621 0.533
0.281 0.879 0.033
0.719 0.121 0.967
0.719 0.379 0.467
0.753 0.505 0.755
0.753 0.995 0.255
0.805 0.602 0.041
0.805 0.898 0.541
```

E_form (uncorrected) (eV/atom): -1.143
Symmetry: P2_1/c

Entry 17:
The following is a DFT calculation (PBE) of a relaxed K2NaTlO crystal.

```
K2NaTlO
1.0
5.678 0.000 0.000
0.000 5.678 0.000
0.000 0.000 4.598
K Na Tl O
2 1 1 1
Direct
0.000 0.500 0.000
0.500 0.000 0.000
0.000 0.000 0.500
0.500 0.500 0.500
0.000 0.000 0.000
```

E_form (uncorrected) (eV/atom): -0.505
Symmetry: P4/mmm

Entry 18:
The following is a DFT calculation (PBE) of a relaxed K3Na2UO6 crystal.

```
K3Na2UO6
1.0
3.052 -5.266 0.000
3.052 5.266 0.000
-2.008 0.000 6.113
K Na U O
3 2 1 6
Direct
0.000 0.000 0.000
0.322 0.678 0.000
0.678 0.322 0.000
0.166 0.834 0.500
0.834 0.166 0.500
0.500 0.500 0.500
0.153 0.435 0.305
0.288 0.288 0.697
0.435 0.153 0.305
0.565 0.847 0.695
0.712 0.712 0.303
0.847 0.565 0.695
```

E_form (uncorrected) (eV/atom): -2.062
Symmetry: C2/m

Entry 19:
The following is a DFT calculation (PBE) of a relaxed KNaUO4 crystal.

```
KNaUO4
1.0
-2.176 2.176 6.371
2.176 -2.176 6.371
2.176 2.176 -6.371
K Na U O
1 1 1 4
Direct
0.000 0.000 0.000
0.698 0.698 0.000
0.349 0.349 0.000
0.198 0.198 0.000
0.346 0.846 0.500
0.503 0.503 0.000
0.846 0.346 0.500
```

E_form (uncorrected) (eV/atom): -2.601
Symmetry: I4mm